[1]
Computed, not measured: a relaxed TaTcAs crystal at the PBE-GGA level of DFT.

Results
D(E_F) ... 2.30 states/eV/f.u.
Mass density ... 12.1 g cm⁻³
Total DFT energy (no corrections) ... -53.8 eV/cell
DFT formation energy ... -0.01 eV per formula unit

Lattice parameters (Å, degrees): 3.0811 3.8815 8.1065 90.00 90.00 90.00
Closest atoms and distances in Å follow each position.
Atoms (fractional coordinates):
1 Ta 0.0000 0.0000 0.0000  5 As 2.67-2.84, 5 Tc 2.74-2.80
2 Ta 0.5000 0.5000 0.5000  5 As 2.67-2.84, 5 Tc 2.74-2.80
3 Tc 0.0000 0.0000 0.3384  5 As 2.70-2.82, 5 Ta 2.74-2.80
4 Tc 0.5000 0.5000 0.8384  5 As 2.70-2.82, 5 Ta 2.74-2.80
5 As 0.0000 0.0000 0.6711  5 Ta 2.67-2.84, 5 Tc 2.70-2.82
6 As 0.5000 0.5000 0.1711  5 Ta 2.67-2.84, 5 Tc 2.70-2.82


[2]
Computed, not measured: a relaxed TaTcAs2 crystal at the PBE-GGA level of DFT.

Results
D(E_F) ... 5.60 states/eV/f.u.
Mass density ... 11.4 g cm⁻³
Total DFT energy (no corrections) ... -127.2 eV/cell
DFT formation energy ... -0.27 eV per formula unit

Lattice parameters (Å, degrees): 6.3064 6.3064 6.3064 90.00 90.00 90.00
Closest atoms and distances in Å follow each position.
Atoms (fractional coordinates):
1 Ta 0.0000 0.0000 0.0000  8 As 2.73
2 Ta 0.0000 0.5000 0.5000  8 As 2.73
3 Ta 0.5000 0.0000 0.5000  8 As 2.73
4 Ta 0.5000 0.5000 0.0000  8 As 2.73
5 Tc 0.0000 0.0000 0.5000  8 As 2.73
6 Tc 0.0000 0.5000 0.0000  8 As 2.73
7 Tc 0.5000 0.0000 0.0000  8 As 2.73
8 Tc 0.5000 0.5000 0.5000  8 As 2.73
9 As 0.2500 0.2500 0.2500  4 Ta 2.73, 4 Tc 2.73
10 As 0.2500 0.2500 0.7500  4 Ta 2.73, 4 Tc 2.73
11 As 0.2500 0.7500 0.2500  4 Ta 2.73, 4 Tc 2.73
12 As 0.2500 0.7500 0.7500  4 Ta 2.73, 4 Tc 2.73
13 As 0.7500 0.2500 0.2500  4 Ta 2.73, 4 Tc 2.73
14 As 0.7500 0.2500 0.7500  4 Ta 2.73, 4 Tc 2.73
15 As 0.7500 0.7500 0.2500  4 Ta 2.73, 4 Tc 2.73
16 As 0.7500 0.7500 0.7500  4 Ta 2.73, 4 Tc 2.73


[3]
Computed, not measured: a relaxed TaTcAs2 crystal at the PBE-GGA level of DFT.

Results
D(E_F) ... 4.38 states/eV/f.u.
Mass density ... 10.1 g cm⁻³
Total DFT energy (no corrections) ... -122.5 eV/cell
DFT formation energy ... 0.89 eV per formula unit

Lattice parameters (Å, degrees): 3.9667 3.9667 17.8612 90.00 90.00 90.00
Closest atoms and distances in Å follow each position.
Atoms (fractional coordinates):
1 Ta 0.0000 0.0000 0.0000  4 As 2.66, 4 Tc 2.80
2 Ta 0.0000 0.5000 0.2500  4 As 2.66, 4 Tc 2.80
3 Ta 0.5000 0.0000 0.7500  4 As 2.66, 4 Tc 2.80
4 Ta 0.5000 0.5000 0.5000  4 As 2.66, 4 Tc 2.80
5 Tc 0.0000 0.0000 0.5000  4 As 2.61, 4 Ta 2.80
6 Tc 0.0000 0.5000 0.7500  4 As 2.61, 4 Ta 2.80
7 Tc 0.5000 0.0000 0.2500  4 As 2.61, 4 Ta 2.80
8 Tc 0.5000 0.5000 0.0000  4 As 2.61, 4 Ta 2.80
9 As 0.2336 0.2500 0.6250  2 Tc 2.61, 2 Ta 2.66, 4 As 2.71-2.90
10 As 0.2500 0.7336 0.8750  2 Tc 2.61, 2 Ta 2.66, 4 As 2.71-2.90
11 As 0.2500 0.7664 0.3750  2 Tc 2.61, 2 Ta 2.66, 4 As 2.71-2.90
12 As 0.2664 0.2500 0.1250  2 Tc 2.61, 2 Ta 2.66, 4 As 2.71-2.90
13 As 0.7336 0.7500 0.1250  2 Tc 2.61, 2 Ta 2.66, 4 As 2.71-2.90
14 As 0.7500 0.2336 0.3750  2 Tc 2.61, 2 Ta 2.66, 4 As 2.71-2.90
15 As 0.7500 0.2664 0.8750  2 Tc 2.61, 2 Ta 2.66, 4 As 2.71-2.90
16 As 0.7664 0.7500 0.6250  2 Tc 2.61, 2 Ta 2.66, 4 As 2.71-2.90


[4]
Computed, not measured: a relaxed TaTcAs2 crystal at the PBE-GGA level of DFT.

Results
D(E_F) ... 1.02 states/eV/f.u.
Mass density ... 10.9 g cm⁻³
Total DFT energy (no corrections) ... -62.6 eV/cell
DFT formation energy ... 0.23 eV per formula unit

Lattice parameters (Å, degrees): 4.1086 4.1086 7.7195 90.00 90.00 90.00
Closest atoms and distances in Å follow each position.
Atoms (fractional coordinates):
1 Ta 0.0000 0.0000 0.0000  8 As 2.82-2.91, 4 Tc 2.82
2 Ta 0.5000 0.5000 0.5000  8 As 2.82-2.91, 4 Tc 2.82
3 Tc 0.0000 0.5000 0.7500  4 Ta 2.82, 8 As 2.82-2.91
4 Tc 0.5000 0.0000 0.2500  4 Ta 2.82, 8 As 2.82-2.91
5 As 0.0000 0.0000 0.5000  4 Tc 2.82, 4 As 2.82, 4 Ta 2.91
6 As 0.0000 0.5000 0.2500  4 Ta 2.82, 4 As 2.82, 4 Tc 2.91
7 As 0.5000 0.0000 0.7500  4 Ta 2.82, 4 As 2.82, 4 Tc 2.91
8 As 0.5000 0.5000 0.0000  4 As 2.82, 4 Tc 2.82, 4 Ta 2.91


[5]
Computed, not measured: a relaxed TaTcAs crystal at the PBE-GGA level of DFT.

Results
D(E_F) ... 2.73 states/eV/f.u.
Mass density ... 12.2 g cm⁻³
Total DFT energy (no corrections) ... -27.5 eV/cell
DFT formation energy ... -0.59 eV per formula unit

Lattice parameters (Å, degrees): 4.2985 4.2985 2.9984 90.00 90.00 120.00
Closest atoms and distances in Å follow each position.
Atoms (fractional coordinates):
1 Ta 0.0000 0.0000 0.0000  6 As 2.90, 6 Tc 2.90, 2 Ta 3.00
2 Tc 0.6667 0.3333 0.5000  3 As 2.48
3 As 0.3333 0.6667 0.5000  3 Tc 2.48


[6]
Computed, not measured: a relaxed TaVTc2As crystal at the PBE-GGA level of DFT.

Results
D(E_F) ... 5.23 states/eV/f.u.
Mass density ... 9.4 g cm⁻³
Total DFT energy (no corrections) ... -42.3 eV/cell
DFT formation energy ... 4.04 eV per formula unit

Lattice parameters (Å, degrees): 4.4986 4.4986 4.3748 90.00 90.00 90.00
Closest atoms and distances in Å follow each position.
Atoms (fractional coordinates):
1 Ta 0.0000 0.0000 0.0000  8 Tc 3.14, 4 V 3.18
2 V 0.5000 0.5000 0.0000  2 As 2.19
3 Tc 0.0000 0.5000 0.5000  2 As 2.25
4 Tc 0.5000 0.0000 0.5000  2 As 2.25
5 As 0.5000 0.5000 0.5000  2 V 2.19, 4 Tc 2.25


[7]
Computed, not measured: a relaxed Ta2TeAs2 crystal at the PBE-GGA level of DFT.

Results
Energy relative to the elements, uncorrected ... -0.197 eV/atom
D(E_F) ... 1.58 states/eV/f.u.
Mass density ... 11.1 g cm⁻³
Total DFT energy (no corrections) ... -74.3 eV/cell

Lattice parameters (Å, degrees): 7.5959 7.5959 3.3132 90.00 90.00 90.00
Closest atoms and distances in Å follow each position.
Atoms (fractional coordinates):
1 Ta 0.1426 0.3574 0.0000  6 As 2.71-2.87, 2 Te 2.92
2 Ta 0.3574 0.8574 0.0000  6 As 2.71-2.87, 2 Te 2.92
3 Ta 0.6426 0.1426 0.0000  6 As 2.71-2.87, 2 Te 2.92
4 Ta 0.8574 0.6426 0.0000  6 As 2.71-2.87, 2 Te 2.92
5 Te 0.0000 0.0000 0.0000  4 Ta 2.92
6 Te 0.5000 0.5000 0.0000  4 Ta 2.92
7 As 0.1397 0.6397 0.5000  6 Ta 2.71-2.87, 1 As 3.00
8 As 0.3603 0.1397 0.5000  6 Ta 2.71-2.87, 1 As 3.00
9 As 0.6397 0.8603 0.5000  6 Ta 2.71-2.87, 1 As 3.00
10 As 0.8603 0.3603 0.5000  6 Ta 2.71-2.87, 1 As 3.00


[8]
Computed, not measured: a relaxed Ta2TeAs2 crystal at the PBE-GGA level of DFT.

Results
Energy relative to the elements, uncorrected ... -0.035 eV/atom
D(E_F) ... 4.85 states/eV/f.u.
Mass density ... 10.3 g cm⁻³
Total DFT energy (no corrections) ... -72.6 eV/cell

Lattice parameters (Å, degrees): 4.7067 4.7067 9.3238 90.00 90.00 90.00
Closest atoms and distances in Å follow each position.
Atoms (fractional coordinates):
1 Ta 0.0000 0.5000 0.2500  4 As 2.59
2 Ta 0.0000 0.5000 0.7500  4 As 2.59
3 Ta 0.5000 0.0000 0.2500  4 As 2.59
4 Ta 0.5000 0.0000 0.7500  4 As 2.59
5 Te 0.0000 0.0000 0.0000  8 Ta 3.31, 10 As 3.40-3.56
6 Te 0.5000 0.5000 0.5000  8 Ta 3.31, 10 As 3.40-3.56
7 As 0.0000 0.0000 0.3651  1 As 2.51, 4 Ta 2.59
8 As 0.0000 0.0000 0.6349  1 As 2.51, 4 Ta 2.59
9 As 0.5000 0.5000 0.1349  1 As 2.51, 4 Ta 2.59
10 As 0.5000 0.5000 0.8651  1 As 2.51, 4 Ta 2.59


[9]
Computed, not measured: a relaxed TaTe4As crystal at the PBE-GGA level of DFT.

Results
Energy relative to the elements, uncorrected ... 1.186 eV/atom
D(E_F) ... 6.16 states/eV/f.u.
Mass density ... 7.9 g cm⁻³
Total DFT energy (no corrections) ... -22.0 eV/cell

Lattice parameters (Å, degrees): 6.1136 6.1136 6.1136 60.00 60.00 60.00
Closest atoms and distances in Å follow each position.
Atoms (fractional coordinates):
1 Ta 0.0000 0.0000 0.0000  12 Te 3.58, 4 As 3.74
2 Te 0.1235 0.6255 0.6255  6 Te 3.04-3.07
3 Te 0.6255 0.1235 0.6255  6 Te 3.04-3.07
4 Te 0.6255 0.6255 0.1235  6 Te 3.04-3.07
5 Te 0.6255 0.6255 0.6255  6 Te 3.04-3.07
6 As 0.2500 0.2500 0.2500  12 Te 3.59, 4 Ta 3.74


[10]
Computed, not measured: a relaxed Ta2TeAs2 crystal at the PBE-GGA level of DFT.

Results
Energy relative to the elements, uncorrected ... 0.121 eV/atom
D(E_F) ... 1.29 states/eV/f.u.
Mass density ... 11.2 g cm⁻³
Total DFT energy (no corrections) ... -71.1 eV/cell

Lattice parameters (Å, degrees): 7.6596 7.6596 3.2315 90.00 90.00 90.00
Closest atoms and distances in Å follow each position.
Atoms (fractional coordinates):
1 Ta 0.1555 0.3445 0.0000  6 As 2.74-2.81
2 Ta 0.3445 0.8445 0.0000  6 As 2.74-2.81
3 Ta 0.6555 0.1555 0.0000  6 As 2.74-2.81
4 Ta 0.8445 0.6555 0.0000  6 As 2.74-2.81
5 Te 0.0000 0.0000 0.5000  4 As 2.99, 2 Te 3.23, 8 Ta 3.32
6 Te 0.5000 0.5000 0.5000  4 As 2.99, 2 Te 3.23, 8 Ta 3.32
7 As 0.1327 0.6327 0.5000  6 Ta 2.74-2.81, 1 As 2.88, 2 Te 2.99
8 As 0.3673 0.1327 0.5000  6 Ta 2.74-2.81, 1 As 2.88, 2 Te 2.99
9 As 0.6327 0.8673 0.5000  6 Ta 2.74-2.81, 1 As 2.88, 2 Te 2.99
10 As 0.8673 0.3673 0.5000  6 Ta 2.74-2.81, 1 As 2.88, 2 Te 2.99


[11]
Computed, not measured: a relaxed Ta4TeAs crystal at the PBE-GGA level of DFT.

Results
Energy relative to the elements, uncorrected ... 0.549 eV/atom
D(E_F) ... 5.35 states/eV/f.u.
Mass density ... 12.7 g cm⁻³
Total DFT energy (no corrections) ... -51.9 eV/cell

Lattice parameters (Å, degrees): 5.5551 5.5551 5.5551 60.00 60.00 60.00
Closest atoms and distances in Å follow each position.
Atoms (fractional coordinates):
1 Ta 0.1254 0.1254 0.1254  6 Ta 2.77-2.79
2 Ta 0.1254 0.1254 0.6238  6 Ta 2.77-2.79
3 Ta 0.1254 0.6238 0.1254  6 Ta 2.77-2.79
4 Ta 0.6238 0.1254 0.1254  6 Ta 2.77-2.79
5 Te 0.7500 0.7500 0.7500  12 Ta 3.26, 4 As 3.40
6 As 0.5000 0.5000 0.5000  12 Ta 3.26, 4 Te 3.40


[12]
Computed, not measured: a relaxed Ta3TeAs crystal at the PBE-GGA level of DFT.

Results
Energy relative to the elements, uncorrected ... 1.906 eV/atom
D(E_F) ... 8.85 states/eV/f.u.
Mass density ... 9.8 g cm⁻³
Total DFT energy (no corrections) ... -33.8 eV/cell

Lattice parameters (Å, degrees): 5.0129 5.0129 5.0129 90.00 90.00 90.00
Closest atoms and distances in Å follow each position.
Atoms (fractional coordinates):
1 Ta 0.0000 0.0000 0.5000  2 Te 2.51
2 Ta 0.0000 0.5000 0.0000  2 Te 2.51
3 Ta 0.5000 0.0000 0.0000  2 Te 2.51
4 Te 0.0000 0.0000 0.0000  6 Ta 2.51
5 As 0.5000 0.5000 0.5000  12 Ta 3.54